Entry 1:
The following is a DFT calculation (PBE) of a geometry-optimized Hf3Zr3ZnSb2 structure.

## Properties
VASP energy   -0.2840 Ha/atom
Calculated volume   194.3 Å³/f.u.

Lattice parameters (Å, degrees): 7.6433 7.6433 3.8409 90.00 90.00 120.00
Space group P-62m (No. 189)
Unique sites:
Hf1 0.0000 0.2417 0.0000
Zr1 0.0000 0.5966 0.5000
Zn1 0.0000 0.0000 0.5000
Sb1 0.3333 0.6667 0.0000

---

Entry 2:
The following is a DFT calculation (PBE) of a geometry-optimized Hf3Zr3ZnSb2 structure.

## Properties
VASP energy   -0.2813 Ha/atom
Calculated volume   195.2 Å³/f.u.

Lattice parameters (Å, degrees): 7.6887 7.6887 3.8125 90.00 90.00 120.00
Space group P-62m (No. 189)
Unique sites:
Hf1 0.0000 0.5993 0.0000
Zr1 0.0000 0.2464 0.5000
Zn1 0.0000 0.0000 0.0000
Sb1 0.3333 0.6667 0.5000

---

Entry 3:
The following is a DFT calculation (PBE) of a geometry-optimized HfZr3Sb4 structure.

## Properties
VASP energy   -0.2613 Ha/atom
Calculated volume   199.3 Å³/f.u.

Lattice parameters (Å, degrees): 4.1031 4.1031 13.6702 90.00 90.00 120.00
Space group P3m1 (No. 156)
Unique sites:
Hf1 0.0000 0.0000 0.0000
Zr1 0.0000 0.0000 0.2618
Zr2 0.3333 0.6667 0.4990
Zr3 0.3333 0.6667 0.7636
Sb1 0.0000 0.0000 0.6317
Sb2 0.3333 0.6667 0.1289
Sb3 0.6667 0.3333 0.3805
Sb4 0.6667 0.3333 0.8836

---

Entry 4:
The following is a DFT calculation (PBE) of a geometry-optimized HfZrSb2 structure.

## Properties
VASP energy   -0.2448 Ha/atom
Calculated volume   93.4 Å³/f.u.

Lattice parameters (Å, degrees): 7.201 7.201 7.201 90.00 90.00 90.00
Space group F-43m (No. 216)
Unique sites:
Hf1 0.000 0.000 0.000
Zr1 0.250 0.250 0.250
Sb1 0.000 0.000 0.500
Sb2 0.250 0.250 0.750

---

Entry 5:
The following is a DFT calculation (PBE) of a geometry-optimized Hf2ZrSb structure.

## Properties
VASP energy   -0.3014 Ha/atom
Calculated volume   86.7 Å³/f.u.

Lattice parameters (Å, degrees): 7.026 7.026 7.026 90.00 90.00 90.00
Space group F-43m (No. 216)
Unique sites:
Hf1 0.000 0.000 0.000
Hf2 0.250 0.250 0.250
Zr1 0.250 0.250 0.750
Sb1 0.000 0.000 0.500

---

Entry 6:
The following is a DFT calculation (PBE) of a geometry-optimized HfSc structure.

## Properties
Calculated formation energy   15 meV per atom
Calculated volume   45.6 Å³/f.u.

Lattice parameters (Å, degrees): 3.2202 3.2202 5.0810 90.00 90.00 120.00
Space group P-6m2 (No. 187)
Unique sites:
Hf1 0.0000 0.0000 0.0000
Sc1 0.6667 0.3333 0.5000

---

Entry 7:
The following is a DFT calculation (PBE) of a geometry-optimized HfSc structure.

## Properties
Calculated formation energy   1077 meV per atom
Calculated volume   48.6 Å³/f.u.

Lattice parameters (Å, degrees): 5.794 5.794 5.794 90.00 90.00 90.00
Space group Fm-3m (No. 225)
Unique sites:
Hf1 0.000 0.000 0.000
Sc1 0.000 0.000 0.500

---

Entry 8:
The following is a DFT calculation (PBE) of a geometry-optimized HfSc structure.

## Properties
Calculated formation energy   2509 meV per atom
Calculated volume   58.8 Å³/f.u.

Lattice parameters (Å, degrees): 6.173 6.173 6.173 90.00 90.00 90.00
Space group F-43m (No. 216)
Unique sites:
Hf1 0.000 0.000 0.000
Sc1 0.250 0.250 0.750

---

Entry 9:
The following is a DFT calculation (PBE) of a geometry-optimized HfScSi structure.

## Properties
VASP energy   -0.2862 Ha/atom
Calculated volume   59.7 Å³/f.u.

Lattice parameters (Å, degrees): 7.235 3.887 8.490 90.00 90.00 90.00
Space group Pnma (No. 62)
Unique sites:
Hf1 0.133 0.250 0.072
Sc1 0.037 0.250 0.668
Si1 0.250 0.250 0.373

---

Entry 10:
The following is a DFT calculation (PBE) of a geometry-optimized HfScSi structure.

## Properties
VASP energy   -0.2787 Ha/atom
Calculated volume   63.4 Å³/f.u.

Lattice parameters (Å, degrees): 6.328 6.328 6.328 90.00 90.00 90.00
Space group F-43m (No. 216)
Unique sites:
Hf1 0.000 0.000 0.000
Sc1 0.000 0.000 0.500
Si1 0.250 0.250 0.250

---

Entry 11:
The following is a DFT calculation (PBE) of a geometry-optimized Hf2ScSi structure.

## Properties
VASP energy   -0.2928 Ha/atom
Calculated volume   77.5 Å³/f.u.

Lattice parameters (Å, degrees): 6.767 6.767 6.767 90.00 90.00 90.00
Space group F-43m (No. 216)
Unique sites:
Hf1 0.000 0.000 0.000
Hf2 0.250 0.250 0.250
Sc1 0.250 0.250 0.750
Si1 0.000 0.000 0.500

---

Entry 12:
The following is a DFT calculation (PBE) of a geometry-optimized HfScSi2 structure.

## Properties
VASP energy   -0.2444 Ha/atom
Calculated volume   70.1 Å³/f.u.

Lattice parameters (Å, degrees): 6.546 6.546 6.546 90.00 90.00 90.00
Space group F-43m (No. 216)
Unique sites:
Hf1 0.000 0.000 0.000
Sc1 0.250 0.250 0.750
Si1 0.000 0.000 0.500
Si2 0.250 0.250 0.250

---

Entry 13:
The following is a DFT calculation (PBE) of a geometry-optimized SmHfSc structure.

## Properties
Calculated formation energy   1068 meV per atom
Calculated volume   90.0 Å³/f.u.

Lattice parameters (Å, degrees): 7.115 7.115 7.115 90.00 90.00 90.00
Space group F-43m (No. 216)
Unique sites:
Sm1 0.000 0.000 0.000
Hf1 0.250 0.250 0.750
Sc1 0.250 0.250 0.250

---

Entry 14:
The following is a DFT calculation (PBE) of a geometry-optimized SmHfSc structure.

## Properties
Calculated formation energy   895 meV per atom
Calculated volume   91.0 Å³/f.u.

Lattice parameters (Å, degrees): 7.140 7.140 7.140 90.00 90.00 90.00
Space group F-43m (No. 216)
Unique sites:
Sm1 0.000 0.000 0.000
Hf1 0.250 0.250 0.750
Sc1 0.000 0.000 0.500

---

Entry 15:
The following is a DFT calculation (PBE) of a geometry-optimized HfScSn2 structure.

## Properties
VASP energy   -0.2186 Ha/atom
Calculated volume   93.7 Å³/f.u.

Lattice parameters (Å, degrees): 7.209 7.209 7.209 90.00 90.00 90.00
Space group F-43m (No. 216)
Unique sites:
Hf1 0.000 0.000 0.000
Sc1 0.250 0.250 0.750
Sn1 0.000 0.000 0.500
Sn2 0.250 0.250 0.250

---

Entry 16:
The following is a DFT calculation (PBE) of a geometry-optimized Hf2ScSn structure.

## Properties
VASP energy   -0.2817 Ha/atom
Calculated volume   86.5 Å³/f.u.

Lattice parameters (Å, degrees): 7.021 7.021 7.021 90.00 90.00 90.00
Space group F-43m (No. 216)
Unique sites:
Hf1 0.000 0.000 0.000
Hf2 0.250 0.250 0.250
Sc1 0.250 0.250 0.750
Sn1 0.000 0.000 0.500

---

Entry 17:
The following is a DFT calculation (PBE) of a geometry-optimized HfScSn structure.

## Properties
VASP energy   -0.2498 Ha/atom
Calculated volume   76.6 Å³/f.u.

Lattice parameters (Å, degrees): 6.743 6.743 6.743 90.00 90.00 90.00
Space group F-43m (No. 216)
Unique sites:
Hf1 0.000 0.000 0.000
Sc1 0.000 0.000 0.500
Sn1 0.250 0.250 0.250

---

Entry 18:
The following is a DFT calculation (PBE) of a geometry-optimized HfSc2Sn structure.

## Properties
VASP energy   -0.2503 Ha/atom
Calculated volume   87.4 Å³/f.u.

Lattice parameters (Å, degrees): 7.046 7.046 7.046 90.00 90.00 90.00
Space group F-43m (No. 216)
Unique sites:
Hf1 0.000 0.000 0.000
Sc1 0.000 0.000 0.500
Sc2 0.250 0.250 0.250
Sn1 0.250 0.250 0.750

---

Entry 19:
The following is a DFT calculation (PBE) of a geometry-optimized Sr2HfSc structure.

## Properties
VASP energy   -0.1577 Ha/atom
Calculated volume   130.4 Å³/f.u.

Lattice parameters (Å, degrees): 8.051 8.051 8.051 90.00 90.00 90.00
Space group F-43m (No. 216)
Unique sites:
Sr1 0.000 0.000 0.000
Sr2 0.250 0.250 0.250
Hf1 0.250 0.250 0.750
Sc1 0.000 0.000 0.500

---

Entry 20:
The following is a DFT calculation (PBE) of a geometry-optimized SrHfSc2 structure.

## Properties
VASP energy   -0.2031 Ha/atom
Calculated volume   109.9 Å³/f.u.

Lattice parameters (Å, degrees): 7.605 7.605 7.605 90.00 90.00 90.00
Space group F-43m (No. 216)
Unique sites:
Sr1 0.000 0.000 0.000
Hf1 0.250 0.250 0.250
Sc1 0.000 0.000 0.500
Sc2 0.250 0.250 0.750